This record from Alexandria via LeMat-Bulk describes crystalline Nd4Sm5Tm2 at its relaxed geometry. The functional is PBE.

* formation energy: 2.78 eV per formula unit
* calculated density: 7.2 g/cm³
* E: -4.439 eV/atom

Cell lengths 3.5207, 9.4156, 23.1863 Å; angles 90.00, 90.00, 90.00 degrees
Last column: nearest neighbours and their distance in Å.
Space group Immm (No. 71)
Symmetry-distinct sites (fractional):
Nd 0.0000 0.0000 0.0960  1 Tm 3.11, 4 Nd 3.43
Nd 0.0000 0.2961 0.5000  4 Sm 3.30-3.61, 6 Nd 3.43-3.52
Sm 0.0000 0.2053 0.3486  3 Tm 3.36-3.76, 2 Sm 3.52, 3 Nd 3.53-3.61
Sm 0.0000 0.5000 0.0000  4 Nd 3.30, 2 Sm 3.52
Tm 0.0000 0.0000 0.2300  1 Nd 3.11, 2 Sm 3.36